Below is a relaxed structure of Li2WAu, with properties calculated at the PBEsol level.

The value obtained for the energy of formation is 115 kJ/mol of formula units. As for the size of the total moment: 0.000 μB per atom. As for the space group: Cm, No. 8.

Lattice parameters (Å, degrees): 2.6297 4.8470 5.0745 96.50 90.00 105.74
Fractional positions:
1 Au 0.7454 0.4909 0.2825
2 Li 0.0110 0.0219 0.9715
3 Li 0.2508 0.5016 0.7877
4 W 0.4928 0.9857 0.4583